--- w ---
Computed, not measured: a relaxed structure of Li2Cu2F7 at the GGA-PBE level of DFT.

crystal system	monoclinic
magnetization	0.0	μB per cell

Geometry as extended XYZ:
```
22
Lattice="3.9614 0.0000 0.0000 0.0000 5.3556 0.0000 -1.7518 0.0000 13.0271" Properties=species:S:1:pos:R:3 pbc="T T T"
Li -0.0316 0.0000 2.0687
Li 0.7061 2.0332 6.0368
Li 1.5034 4.7110 6.9903
Li 2.2412 2.6778 10.9583
Cu 0.2613 1.8951 8.9373
Cu 0.2495 4.7371 11.7172
Cu 1.9601 2.0593 1.3098
Cu 1.9483 4.5729 4.0898
F -0.0210 1.8166 1.3652
F -0.0336 4.6576 3.8737
F 0.2486 0.7454 7.4188
F 0.3114 3.3083 7.6796
F 0.2569 0.3962 10.1016
F 0.2595 3.0448 10.5972
F 0.2077 1.1059 12.6485
F 2.0019 3.7837 0.3786
F 1.9500 0.3670 2.4299
F 1.9527 3.0740 2.9255
F 1.8982 0.6305 5.3474
F 1.9609 3.4232 5.6083
F 2.2432 1.9798 9.1534
F 2.2305 4.4944 11.6619
```


--- x ---
Computed, not measured: a relaxed structure of Li2Cu2F7 at the GGA-PBE level of DFT.

crystal system	cubic
magnetization	6.0	μB per cell

Geometry as extended XYZ:
```
22
Lattice="0.0000 5.0242 5.0242 5.0242 0.0000 5.0242 5.0242 5.0242 0.0000" Properties=species:S:1:pos:R:3 pbc="T T T"
Li 0.0000 0.0000 0.0000
Li 2.5121 2.5121 0.0000
Li 2.5121 0.0000 2.5121
Li 0.0000 2.5121 2.5121
Cu 5.0242 2.5121 2.5121
Cu 2.5121 5.0242 2.5121
Cu 2.5121 2.5121 5.0242
Cu 5.0242 5.0242 5.0242
F 1.2560 1.2560 1.2560
F 3.7681 3.7681 1.7146
F 3.7681 1.7146 3.7681
F 5.8217 3.7681 3.7681
F 6.2802 6.2802 4.2267
F 6.2802 4.2267 6.2802
F 8.3338 6.2802 6.2802
F 1.7146 3.7681 3.7681
F 3.7681 5.8217 3.7681
F 3.7681 3.7681 5.8217
F 4.2267 6.2802 6.2802
F 6.2802 8.3338 6.2802
F 6.2802 6.2802 8.3338
F 8.7923 8.7923 8.7923
```


Energies relative to the most stable structure are w 0; x 12, reported in meV/atom.


--- w ---
Computed, not measured: a relaxed structure of Li2Cu2F7 at the GGA-PBE level of DFT.

crystal system	triclinic
magnetization	6.0	μB per cell

Geometry as extended XYZ:
```
22
Lattice="5.3373 0.0000 0.0000 0.6693 6.5185 0.0000 2.5521 2.2828 7.9516" Properties=species:S:1:pos:R:3 pbc="T T T"
Li 1.4084 2.3598 2.8155
Li 4.3287 5.4016 5.7652
Li 4.2299 3.3997 2.1864
Li 7.1503 6.4415 5.1361
Cu 3.8707 8.3597 6.5608
Cu 2.7610 5.8064 2.3642
Cu 5.7977 2.9949 5.5874
Cu 4.6879 0.4416 1.3908
F 2.0248 2.1410 4.8176
F 3.1592 6.6349 6.6253
F 1.7332 6.0884 0.6730
F 2.3892 3.9179 2.3275
F 3.4133 5.7282 4.1518
F 4.0787 3.5544 6.4094
F 2.9412 1.1062 2.0864
F 5.6175 7.6951 5.8652
F 4.4800 5.2470 1.5421
F 5.1453 3.0731 3.7998
F 6.1694 4.8834 5.6241
F 6.8255 2.7130 7.2785
F 5.3995 2.1665 1.3263
F 6.5338 6.6603 3.1339
```


--- x ---
Computed, not measured: a relaxed structure of Li2Cu2F7 at the GGA-PBE level of DFT.

crystal system	triclinic
magnetization	6.0	μB per cell

Geometry as extended XYZ:
```
22
Lattice="5.2688 0.0000 0.0000 0.5712 6.6113 0.0000 2.0990 2.6072 7.8649" Properties=species:S:1:pos:R:3 pbc="T T T"
Li 1.2079 0.7699 1.9964
Li 4.1146 7.3944 7.1802
Li 3.8244 1.8241 0.6846
Li 6.7311 8.4486 5.8685
Cu 1.9950 4.0329 2.6246
Cu 3.3716 4.0410 6.4061
Cu 4.5674 5.1775 1.4588
Cu 5.9440 5.1857 5.2403
F 0.9857 4.3292 0.8610
F 1.3774 2.3313 2.9865
F 2.6651 2.2662 6.4329
F 2.4171 4.2904 4.6238
F 2.8419 5.7725 2.3150
F 2.0324 1.3547 0.3196
F 4.2496 5.7999 6.0939
F 3.6894 3.4186 1.7710
F 5.9066 7.8638 7.5453
F 5.0971 3.4460 5.5499
F 5.5219 4.9281 3.2410
F 5.2739 6.9523 1.4320
F 6.5616 6.8872 4.8784
F 6.9533 4.8893 7.0039
```


Energies relative to the most stable structure are w 18; x 0, reported in meV/atom.